Entry from Alexandria: an optimized crystal structure of RbU2AgSe5 (GGA-PBE).

Unit cell a=7.900 b=7.900 c=9.601 alpha=114.29 beta=114.29 gamma=90.00
Sites, in units of the cell vectors:
1 Rb 0.250 0.250 0.500
2 Rb 0.750 0.750 0.500
3 U 0.158 0.342 0.000
4 U 0.658 0.158 0.000
5 U 0.342 0.842 0.000
6 U 0.842 0.658 0.000
7 Ag 0.250 0.750 0.500
8 Ag 0.750 0.250 0.500
9 Se 0.969 0.469 0.233
10 Se 0.736 0.236 0.767
11 Se 0.031 0.531 0.767
12 Se 0.236 0.031 0.767
13 Se 0.531 0.736 0.767
14 Se 0.764 0.969 0.233
15 Se 0.469 0.264 0.233
16 Se 0.264 0.764 0.233
17 Se 0.500 0.500 0.000
18 Se 0.000 0.000 0.000

Summary:
density: 7.25 g/cm3
magnetic moment: 4.0 μB per formula unit
calculated total energy: -5.88 eV per atom

Entry from Alexandria: an optimized crystal structure of RbU2AgSe4 (GGA-PBE).

Unit cell a=4.262 b=7.471 c=14.871 alpha=90.00 beta=90.00 gamma=106.57
Sites, in units of the cell vectors:
1 Rb 0.117 0.235 0.750
2 Rb 0.883 0.765 0.250
3 U 0.370 0.741 0.563
4 U 0.630 0.259 0.063
5 U 0.630 0.259 0.437
6 U 0.370 0.741 0.937
7 Ag 0.838 0.675 0.750
8 Ag 0.162 0.325 0.250
9 Se 0.264 0.528 0.102
10 Se 0.736 0.472 0.602
11 Se 0.736 0.472 0.898
12 Se 0.264 0.528 0.398
13 Se 0.000 0.000 0.500
14 Se 0.000 0.000 0.000
15 Se 0.442 0.883 0.750
16 Se 0.558 0.117 0.250

Summary:
density: 7.21 g/cm3
magnetic moment: 6.0 μB per formula unit
calculated total energy: -6.01 eV per atom

Entry from Alexandria: an optimized crystal structure of Rb3U2AgSe9 (GGA-PBE).

Unit cell a=7.646 b=7.646 c=9.511 alpha=90.00 beta=90.00 gamma=120.00
Sites, in units of the cell vectors:
1 Rb 0.333 0.667 0.654
2 Rb 0.000 0.000 0.000
3 Rb 0.667 0.333 0.346
4 U 0.333 0.667 0.172
5 U 0.667 0.333 0.828
6 Ag 0.000 0.000 0.500
7 Se 0.832 0.168 0.679
8 Se 0.832 0.665 0.679
9 Se 0.335 0.168 0.679
10 Se 0.665 0.832 0.321
11 Se 0.168 0.335 0.321
12 Se 0.168 0.832 0.321
13 Se 0.500 0.000 0.000
14 Se 0.000 0.500 0.000
15 Se 0.500 0.500 0.000

Summary:
density: 5.35 g/cm3
magnetic moment: 0.0 μB per formula unit
calculated total energy: -4.85 eV per atom

Entry from Alexandria: an optimized crystal structure of RbU3Ag4Se12 (GGA-PBE).

Unit cell a=9.388 b=9.388 c=9.388 alpha=108.67 beta=108.67 gamma=108.67
Sites, in units of the cell vectors:
1 Rb 0.000 0.000 0.000
2 U 0.564 0.436 0.000
3 U 0.436 0.000 0.564
4 U 0.000 0.564 0.436
5 Ag 0.931 0.069 0.500
6 Ag 0.069 0.500 0.931
7 Ag 0.500 0.931 0.069
8 Ag 0.500 0.500 0.500
9 Se 0.500 0.332 0.668
10 Se 0.897 0.500 0.103
11 Se 0.103 0.897 0.500
12 Se 0.500 0.103 0.897
13 Se 0.339 0.931 0.246
14 Se 0.246 0.339 0.931
15 Se 0.931 0.246 0.339
16 Se 0.661 0.754 0.069
17 Se 0.069 0.661 0.754
18 Se 0.754 0.069 0.661
19 Se 0.668 0.500 0.332
20 Se 0.332 0.668 0.500

Summary:
density: 5.52 g/cm3
magnetic moment: 0.0 μB per formula unit
calculated total energy: -4.97 eV per atom

Entry from Alexandria: an optimized crystal structure of RbAgWSe4 (GGA-PBE).

Unit cell a=6.022 b=7.643 c=10.445 alpha=90.00 beta=106.48 gamma=90.00
Sites, in units of the cell vectors:
1 Rb 0.659 0.750 0.864
2 Rb 0.341 0.250 0.136
3 Ag 0.645 0.750 0.284
4 Ag 0.355 0.250 0.716
5 W 0.144 0.750 0.283
6 W 0.856 0.250 0.717
7 Se 0.064 0.510 0.712
8 Se 0.936 0.010 0.288
9 Se 0.936 0.490 0.288
10 Se 0.064 0.990 0.712
11 Se 0.259 0.750 0.081
12 Se 0.741 0.250 0.919
13 Se 0.451 0.750 0.479
14 Se 0.549 0.250 0.521

Summary:
density: 4.99 g/cm3
magnetic moment: 0.0 μB per formula unit
calculated total energy: -4.91 eV per atom

Entry from Alexandria: an optimized crystal structure of RbY2AgSe4 (GGA-PBE).

Unit cell a=4.231 b=7.473 c=14.873 alpha=90.00 beta=90.00 gamma=106.45
Sites, in units of the cell vectors:
1 Rb 0.120 0.239 0.750
2 Rb 0.880 0.761 0.250
3 Y 0.369 0.738 0.566
4 Y 0.631 0.262 0.066
5 Y 0.631 0.262 0.434
6 Y 0.369 0.738 0.934
7 Ag 0.837 0.674 0.750
8 Ag 0.163 0.326 0.250
9 Se 0.262 0.524 0.101
10 Se 0.738 0.476 0.601
11 Se 0.738 0.476 0.899
12 Se 0.262 0.524 0.399
13 Se 0.000 0.000 0.500
14 Se 0.000 0.000 0.000
15 Se 0.443 0.886 0.750
16 Se 0.557 0.114 0.250

Summary:
density: 5.06 g/cm3
magnetic moment: 0.0 μB per formula unit
calculated total energy: -5.30 eV per atom